VASP calculation (PBE) on Na7Hg3O after structural relaxation.

Geometry as CIF:
```
data_Na7Hg3O
_cell_length_a 8.458
_cell_length_b 9.275
_cell_length_c 8.554
_cell_angle_alpha 90.00
_cell_angle_beta 119.59
_cell_angle_gamma 90.00
_space_group_name_H-M_alt 'C 1 m 1'
_space_group_IT_number 8
loop_
_space_group_symop_operation_xyz
'x,y,z'
'x,-y,z'
'x+1/2,y+1/2,z'
'x+1/2,-y+1/2,z'
loop_
_atom_site_label
_atom_site_type_symbol
_atom_site_fract_x
_atom_site_fract_y
_atom_site_fract_z
Na1 Na 0.000 0.000 0.000
Na2 Na 0.041 0.500 0.143
Na3 Na 0.140 0.321 0.878
Na4 Na 0.382 0.000 0.479
Na5 Na 0.426 0.334 0.309
Hg1 Hg 0.178 0.000 0.719
Hg2 Hg 0.277 0.332 0.586
O1 O 0.281 0.500 0.086
```

Properties
E_form (uncorrected): -0.436 eV/atom